## Mn3O5F (PBE with a Hubbard U)

Data for Mn3O5F after structural relaxation.

The space group is P2_1 (No. 4) and the conventional cell measures 5.465, 4.545 and 7.541 Å, with angles of 90.00, 93.31 and 90.00 degrees. The distinct sites, in fractional coordinates, are Mn at (0.073, 0.000, 0.336), Mn at (0.250, 0.532, 0.989), Mn at (0.411, 0.033, 0.664), O at (0.043, 0.822, 0.103), O at (0.120, 0.216, 0.558), O at (0.214, 0.713, 0.764), O at (0.376, 0.830, 0.434), O at (0.455, 0.214, 0.900) and F at (0.278, 0.323, 0.229).

As for the crystal system: monoclinic. The calculation puts the polymorph energy (0 for the lowest one) at 0.11 eV/f.u. As for the theoretical density: 4.7 g cm⁻³.